La5PmSn3 | the Alexandria database | GGA-PBE | optimized geometry; SG = P6_3/mcm (193); ΔH_f (0 K) = -596 meV per atom
1.0
-8.061 4.461 3.353
0.860 -9.742 0.693
2.963 0.702 6.190
La Sn Pm
10 6 2
direct
0.334 0.000 0.250 La
0.334 0.334 0.750 La
0.000 0.666 0.750 La
0.667 0.333 0.500 La
0.666 0.666 0.250 La
0.667 0.333 0.000 La
0.000 0.334 0.250 La
0.333 0.667 0.500 La
0.666 0.000 0.750 La
0.333 0.667 0.000 La
0.669 0.669 0.750 Sn
0.000 0.331 0.750 Sn
0.331 0.000 0.750 Sn
0.669 0.000 0.250 Sn
0.000 0.669 0.250 Sn
0.331 0.331 0.250 Sn
0.000 0.000 0.500 Pm
0.000 0.000 0.000 Pm